An optimized crystal structure of CoAgN3, computed with PBE.

abc: 3.9838 3.9838 3.9838
angles: 90.00 90.00 90.00
Last column: nearest neighbours and their distance in Å.
Element x y z (fractional)
1 Co 0.0000 0.0000 0.0000  12 N 2.82
2 Ag 0.5000 0.5000 0.5000  6 N 1.99
3 N 0.0000 0.5000 0.5000  2 Ag 1.99
4 N 0.5000 0.0000 0.5000  2 Ag 1.99
5 N 0.5000 0.5000 0.0000  2 Ag 1.99

Properties
N(E_F) ... 1.4992 states/eV/atom
E_form (uncorrected) ... 2.868 eV/atom
Density ... 5.48 Mg/m³
VASP energy ... -0.30270 Ry per atom